LiCa6Zn5 | PBE | relaxed

abc: 8.3341 8.3341 7.3487
angles: 90.00 90.00 143.06
With the nearest neighbours (Å) after each atom.
Fractional coordinates of all 12 atoms:
Li 0.0000 0.0000 0.0000  8 Ca 3.25-3.28
Ca 0.1706 0.8294 0.2537  7 Zn 3.16-3.26, 1 Li 3.28
Ca 0.1706 0.8294 0.7463  7 Zn 3.16-3.26, 1 Li 3.28
Ca 0.5000 0.5000 0.2590  6 Zn 3.16-3.18, 2 Li 3.25
Ca 0.5000 0.5000 0.7410  6 Zn 3.16-3.18, 2 Li 3.25
Ca 0.8294 0.1706 0.2537  7 Zn 3.16-3.26, 1 Li 3.28
Ca 0.8294 0.1706 0.7463  7 Zn 3.16-3.26, 1 Li 3.28
Zn 0.0000 0.0000 0.5000  8 Ca 3.18-3.25
Zn 0.3343 0.6657 0.5000  8 Ca 3.16-3.20
Zn 0.3400 0.6600 0.0000  8 Ca 3.17-3.26
Zn 0.6600 0.3400 0.0000  8 Ca 3.17-3.26
Zn 0.6657 0.3343 0.5000  8 Ca 3.16-3.20

Results
ΔE_f: -0.199 eV/atom
magnetic moment: 0.000 μB per formula unit


LiCaZn | PBE | relaxed

abc: 5.0230 5.0230 5.0230
angles: 60.00 60.00 60.00
With the nearest neighbours (Å) after each atom.
Fractional coordinates of all 3 atoms:
Li 0.0000 0.0000 0.0000  4 Ca 3.08
Ca 0.7500 0.7500 0.7500  4 Li 3.08, 4 Zn 3.08
Zn 0.5000 0.5000 0.5000  4 Ca 3.08

Results
ΔE_f: 0.307 eV/atom
magnetic moment: 0.000 μB per formula unit


Li2Ca5Zn | PBE | relaxed

abc: 6.5286 6.5286 21.1139
angles: 90.00 90.00 144.54
With the nearest neighbours (Å) after each atom.
Fractional coordinates of all 16 atoms:
Li 0.2090 0.7910 0.6743  2 Zn 2.83
Li 0.2090 0.7910 0.8257  2 Zn 2.83
Li 0.7910 0.2090 0.1743  2 Zn 2.83
Li 0.7910 0.2090 0.3257  2 Zn 2.83
Ca 0.0917 0.9083 0.1127  1 Zn 3.16, 2 Li 3.43
Ca 0.0917 0.9083 0.3873  1 Zn 3.16, 2 Li 3.43
Ca 0.3626 0.6374 0.0430  2 Li 3.52, 8 Ca 3.67-3.88
Ca 0.3626 0.6374 0.4570  2 Li 3.52, 8 Ca 3.67-3.88
Ca 0.4816 0.5184 0.2500  3 Zn 3.28-3.60, 4 Li 3.48
Ca 0.5184 0.4816 0.7500  3 Zn 3.28-3.60, 4 Li 3.48
Ca 0.6374 0.3626 0.5430  2 Li 3.52, 8 Ca 3.67-3.88
Ca 0.6374 0.3626 0.9570  2 Li 3.52, 8 Ca 3.67-3.88
Ca 0.9083 0.0917 0.6127  1 Zn 3.16, 2 Li 3.43
Ca 0.9083 0.0917 0.8873  1 Zn 3.16, 2 Li 3.43
Zn 0.1918 0.8082 0.2500  4 Li 2.83, 2 Ca 3.16
Zn 0.8082 0.1918 0.7500  4 Li 2.83, 2 Ca 3.16

Results
ΔE_f: -0.029 eV/atom
magnetic moment: 0.000 μB per formula unit


LiCaZn3 | PBE | relaxed

abc: 5.7523 4.5100 7.7160
angles: 90.00 109.55 90.00
With the nearest neighbours (Å) after each atom.
Fractional coordinates of all 10 atoms:
Li 0.1656 0.2500 0.2980  9 Zn 2.64-2.80
Li 0.8344 0.7500 0.7020  9 Zn 2.64-2.80
Ca 0.3816 0.7500 0.8141  2 Li 2.97-3.01, 6 Zn 3.13-3.32
Ca 0.6184 0.2500 0.1859  2 Li 2.97-3.01, 6 Zn 3.13-3.32
Zn 0.0301 0.2500 0.5922  4 Zn 2.63-2.74, 3 Li 2.64-2.78
Zn 0.0370 0.7500 0.0869  4 Zn 2.59-2.75, 3 Li 2.73-2.80
Zn 0.4433 0.7500 0.4011  3 Li 2.64-2.72, 4 Zn 2.68-2.75
Zn 0.5567 0.2500 0.5989  3 Li 2.64-2.72, 4 Zn 2.68-2.75
Zn 0.9630 0.2500 0.9131  4 Zn 2.59-2.75, 3 Li 2.73-2.80
Zn 0.9699 0.7500 0.4078  4 Zn 2.63-2.74, 3 Li 2.64-2.78

Results
ΔE_f: -0.190 eV/atom
magnetic moment: 0.000 μB per formula unit


Li8Ca3Zn | PBE | relaxed

abc: 10.2755 10.2755 10.2755
angles: 33.29 33.29 33.29
With the nearest neighbours (Å) after each atom.
Fractional coordinates of all 12 atoms:
Li 0.0000 0.0000 0.0000  6 Li 3.02-3.10
Li 0.2386 0.7459 0.7459  6 Li 2.90-3.10
Li 0.2541 0.2541 0.7479  6 Li 2.81-3.02
Li 0.2541 0.7479 0.2541  6 Li 2.81-3.02
Li 0.4964 0.4964 0.4964  6 Li 2.81-2.91
Li 0.7459 0.2386 0.7459  6 Li 2.90-3.10
Li 0.7459 0.7459 0.2386  6 Li 2.90-3.10
Li 0.7479 0.2541 0.2541  6 Li 2.81-3.02
Ca 0.1785 0.1785 0.1785  12 Li 3.21-3.50, 3 Zn 3.53
Ca 0.3096 0.3096 0.3096  12 Li 3.47-3.59, 4 Ca 3.77-3.81
Ca 0.6993 0.6993 0.6993  1 Zn 3.28, 9 Li 3.32-3.53
Zn 0.8121 0.8121 0.8121  4 Ca 3.28-3.53, 12 Li 3.31-3.44

Results
ΔE_f: 0.006 eV/atom
magnetic moment: 0.000 μB per formula unit


LiCa8Zn2 | PBE | relaxed

abc: 9.9272 9.9272 7.8441
angles: 108.13 108.13 30.50
With the nearest neighbours (Å) after each atom.
Fractional coordinates of all 11 atoms:
Li 0.0000 0.0000 0.0000  8 Ca 3.34-3.62
Ca 0.0980 0.0980 0.4795  2 Zn 3.28, 1 Ca 3.61, 1 Li 3.62
Ca 0.1766 0.1766 0.9645  3 Zn 3.07-3.37
Ca 0.3031 0.3031 0.6874  3 Zn 3.12-3.48
Ca 0.4659 0.4659 0.2259  1 Zn 3.12, 2 Li 3.34
Ca 0.5341 0.5341 0.7741  1 Zn 3.12, 2 Li 3.34
Ca 0.6969 0.6969 0.3126  3 Zn 3.12-3.48
Ca 0.8234 0.8234 0.0355  3 Zn 3.07-3.37
Ca 0.9020 0.9020 0.5205  2 Zn 3.28, 1 Ca 3.61, 1 Li 3.62
Zn 0.3151 0.3151 0.2995  7 Ca 3.07-3.37
Zn 0.6849 0.6849 0.7005  7 Ca 3.07-3.37

Results
ΔE_f: -0.063 eV/atom
magnetic moment: 0.000 μB per formula unit


LiCaZn4 | PBE | relaxed

abc: 5.3644 5.3644 5.3644
angles: 60.00 60.00 60.00
With the nearest neighbours (Å) after each atom.
Fractional coordinates of all 6 atoms:
Li 0.0000 0.0000 0.0000  12 Zn 3.14, 4 Ca 3.29
Ca 0.7500 0.7500 0.7500  12 Zn 3.15, 4 Li 3.29
Zn 0.3740 0.3740 0.3740  6 Zn 2.66-2.70
Zn 0.3740 0.3740 0.8781  6 Zn 2.66-2.70
Zn 0.3740 0.8781 0.3740  6 Zn 2.66-2.70
Zn 0.8781 0.3740 0.3740  6 Zn 2.66-2.70

Results
ΔE_f: -0.218 eV/atom
magnetic moment: 0.000 μB per formula unit


Li7Ca3Zn4 | PBE | relaxed

abc: 8.4436 8.4436 10.3653
angles: 125.26 125.26 31.10
With the nearest neighbours (Å) after each atom.
Fractional coordinates of all 14 atoms:
Li 0.0000 0.0000 0.0000  2 Zn 2.70
Li 0.1593 0.1593 0.9226  3 Zn 2.76-2.81, 2 Li 2.96
Li 0.3195 0.3195 0.4853  4 Zn 2.76-2.78, 1 Li 2.86
Li 0.4867 0.4867 0.2017  3 Zn 2.65-2.76, 3 Li 2.86-2.96
Li 0.5133 0.5133 0.7983  3 Zn 2.65-2.76, 3 Li 2.86-2.96
Li 0.6805 0.6805 0.5147  4 Zn 2.76-2.78, 1 Li 2.86
Li 0.8407 0.8407 0.0774  3 Zn 2.76-2.81, 2 Li 2.96
Ca 0.0000 0.0000 0.5000  6 Zn 3.21-3.31, 2 Li 3.51
Ca 0.3052 0.3052 0.7907  4 Zn 3.14-3.24, 10 Li 3.24-3.50
Ca 0.6948 0.6948 0.2093  4 Zn 3.14-3.24, 10 Li 3.24-3.50
Zn 0.1085 0.1085 0.3241  6 Li 2.70-2.78
Zn 0.3376 0.3376 0.2351  5 Li 2.65-2.81
Zn 0.6624 0.6624 0.7649  5 Li 2.65-2.81
Zn 0.8915 0.8915 0.6759  6 Li 2.70-2.78

Results
ΔE_f: -0.113 eV/atom
magnetic moment: 0.000 μB per formula unit